[1]
A relaxed structure of PmPrTh. Source: OQMD via LeMat-Bulk, functional GGA-PBE.

The structure in CIF format:
```
data_PmPrTh
_chemical_formula_sum 'Pm4 Pr4 Th4'
_cell_length_a 7.727
_cell_length_b 7.727
_cell_length_c 7.727
_cell_angle_alpha 90.00
_cell_angle_beta 90.00
_cell_angle_gamma 90.00
_symmetry_space_group_name_H-M 'F -4 3 m'
_symmetry_Int_Tables_number 216
_symmetry_space_group_name_Hall 'F -4 2 3'
loop_
_atom_site_label
_atom_site_type_symbol
_atom_site_fract_x
_atom_site_fract_y
_atom_site_fract_z
_atom_site_occupancy
Pm1 Pm 0.000 0.000 0.000 1
Pr1 Pr 0.250 0.250 0.750 1
Th1 Th 0.250 0.250 0.250 1
```

Properties
* ΔE to the lowest computed polymorph: 0.0 meV per atom
* density: 7.5 Mg/m³
* crystal system: cubic
* DFT formation energy: 18.19 kcal/mol of atoms

[2]
A relaxed structure of PmPrTl. Source: OQMD via LeMat-Bulk, functional GGA-PBE.

The structure in CIF format:
```
data_PmPrTl
_chemical_formula_sum 'Pm4 Pr4 Tl4'
_cell_length_a 7.518
_cell_length_b 7.518
_cell_length_c 7.518
_cell_angle_alpha 90.00
_cell_angle_beta 90.00
_cell_angle_gamma 90.00
_symmetry_space_group_name_H-M 'F -4 3 m'
_symmetry_Int_Tables_number 216
_symmetry_space_group_name_Hall 'F -4 2 3'
loop_
_atom_site_label
_atom_site_type_symbol
_atom_site_fract_x
_atom_site_fract_y
_atom_site_fract_z
_atom_site_occupancy
Pm1 Pm 0.000 0.000 0.000 1
Pr1 Pr 0.000 0.000 0.500 1
Tl1 Tl 0.250 0.250 0.250 1
```

Properties
* density: 7.7 Mg/m³
* crystal system: cubic
* total energy: -48.25 eV per cell

[3]
A relaxed structure of PmPrTm. Source: OQMD via LeMat-Bulk, functional GGA-PBE.

The structure in CIF format:
```
data_PmPrTm
_chemical_formula_sum 'Pm4 Pr4 Tm4'
_cell_length_a 7.758
_cell_length_b 7.758
_cell_length_c 7.758
_cell_angle_alpha 90.00
_cell_angle_beta 90.00
_cell_angle_gamma 90.00
_symmetry_space_group_name_H-M 'F -4 3 m'
_symmetry_Int_Tables_number 216
_symmetry_space_group_name_Hall 'F -4 2 3'
loop_
_atom_site_label
_atom_site_type_symbol
_atom_site_fract_x
_atom_site_fract_y
_atom_site_fract_z
_atom_site_occupancy
Pm1 Pm 0.000 0.000 0.000 1
Pr1 Pr 0.000 0.000 0.500 1
Tm1 Tm 0.250 0.250 0.250 1
```

Properties
* ΔE to the lowest computed polymorph: 0.0 meV per atom
* density: 6.5 Mg/m³
* crystal system: cubic
* DFT formation energy: 15.64 kcal/mol of atoms

[4]
A relaxed structure of PmPrY. Source: OQMD via LeMat-Bulk, functional GGA-PBE.

The structure in CIF format:
```
data_PmPrY
_chemical_formula_sum 'Pm4 Pr4 Y4'
_cell_length_a 7.842
_cell_length_b 7.842
_cell_length_c 7.842
_cell_angle_alpha 90.00
_cell_angle_beta 90.00
_cell_angle_gamma 90.00
_symmetry_space_group_name_H-M 'F -4 3 m'
_symmetry_Int_Tables_number 216
_symmetry_space_group_name_Hall 'F -4 2 3'
loop_
_atom_site_label
_atom_site_type_symbol
_atom_site_fract_x
_atom_site_fract_y
_atom_site_fract_z
_atom_site_occupancy
Pm1 Pm 0.000 0.000 0.000 1
Pr1 Pr 0.000 0.000 0.500 1
Y1 Y 0.250 0.250 0.250 1
```

Properties
* ΔE to the lowest computed polymorph: 0.0 meV per atom
* density: 5.2 Mg/m³
* crystal system: cubic
* DFT formation energy: 16.55 kcal/mol of atoms

[5]
A relaxed structure of Pm2Pt7. Source: OQMD via LeMat-Bulk, functional GGA-PBE.

The structure in CIF format:
```
data_Pm2Pt7
_chemical_formula_sum 'Pm12 Pt42'
_cell_length_a 5.4339
_cell_length_b 5.4339
_cell_length_c 39.8946
_cell_angle_alpha 90.00
_cell_angle_beta 90.00
_cell_angle_gamma 120.00
_symmetry_space_group_name_H-M 'R -3 m'
_symmetry_Int_Tables_number 166
_symmetry_space_group_name_Hall '-R 3 2"'
loop_
_atom_site_label
_atom_site_type_symbol
_atom_site_fract_x
_atom_site_fract_y
_atom_site_fract_z
_atom_site_occupancy
Pm1 Pm 0.0000 0.0000 0.0493 1
Pm2 Pm 0.0000 0.0000 0.1473 1
Pt1 Pt 0.0000 0.0000 0.2776 1
Pt2 Pt 0.0000 0.0000 0.3888 1
Pt3 Pt 0.0000 0.0000 0.5000 1
Pt4 Pt 0.0000 0.5000 0.0000 1
Pt5 Pt 0.0038 0.5019 0.8884 1
```

Properties
* density: 16.2 Mg/m³
* crystal system: trigonal
* DFT formation energy: -19.57 kcal/mol of atoms

[6]
A relaxed structure of Pm7Pt3. Source: OQMD via LeMat-Bulk, functional GGA-PBE.

The structure in CIF format:
```
data_Pm7Pt3
_chemical_formula_sum 'Pm14 Pt6'
_cell_length_a 10.1159
_cell_length_b 10.1159
_cell_length_c 6.4076
_cell_angle_alpha 90.00
_cell_angle_beta 90.00
_cell_angle_gamma 120.00
_symmetry_space_group_name_H-M 'P 63 m c'
_symmetry_Int_Tables_number 186
_symmetry_space_group_name_Hall 'P 6c -2c'
loop_
_atom_site_label
_atom_site_type_symbol
_atom_site_fract_x
_atom_site_fract_y
_atom_site_fract_z
_atom_site_occupancy
Pm1 Pm 0.0751 0.5376 0.0000 1
Pm2 Pm 0.1265 0.2530 0.6997 1
Pm3 Pm 0.3333 0.6667 0.4894 1
Pt1 Pt 0.1893 0.3787 0.2537 1
```

Properties
* density: 9.4 Mg/m³
* crystal system: hexagonal
* DFT formation energy: -17.65 kcal/mol of atoms

[7]
A relaxed structure of PmPuPt2. Source: OQMD via LeMat-Bulk, functional GGA-PBE.

The structure in CIF format:
```
data_PmPuPt2
_chemical_formula_sum 'Pm2 Pu2 Pt4'
_cell_length_a 4.421
_cell_length_b 3.894
_cell_length_c 10.946
_cell_angle_alpha 90.00
_cell_angle_beta 90.00
_cell_angle_gamma 90.00
_symmetry_space_group_name_H-M 'A m m 2'
_symmetry_Int_Tables_number 38
loop_
_symmetry_equiv_pos_as_xyz
'x,y,z'
'-x,-y,z'
'-x,y,z'
'x,-y,z'
'x,y+1/2,z+1/2'
'-x,-y+1/2,z+1/2'
'-x,y+1/2,z+1/2'
'x,-y+1/2,z+1/2'
loop_
_atom_site_label
_atom_site_type_symbol
_atom_site_fract_x
_atom_site_fract_y
_atom_site_fract_z
_atom_site_occupancy
Pm1 Pm 0.000 0.000 0.000 1
Pu1 Pu 0.500 0.000 0.724 1
Pt1 Pt 0.000 0.000 0.270 1
Pt2 Pt 0.500 0.000 0.449 1
```

Properties
* density: 13.7 Mg/m³
* crystal system: orthorhombic
* DFT formation energy: -23.44 kcal/mol of atoms

[8]
A relaxed structure of PmPuPt. Source: OQMD via LeMat-Bulk, functional GGA-PBE.

The structure in CIF format:
```
data_PmPuPt
_chemical_formula_sum 'Pm4 Pu4 Pt4'
_cell_length_a 6.995
_cell_length_b 6.995
_cell_length_c 6.995
_cell_angle_alpha 90.00
_cell_angle_beta 90.00
_cell_angle_gamma 90.00
_symmetry_space_group_name_H-M 'F -4 3 m'
_symmetry_Int_Tables_number 216
_symmetry_space_group_name_Hall 'F -4 2 3'
loop_
_atom_site_label
_atom_site_type_symbol
_atom_site_fract_x
_atom_site_fract_y
_atom_site_fract_z
_atom_site_occupancy
Pm1 Pm 0.000 0.000 0.000 1
Pu1 Pu 0.000 0.000 0.500 1
Pt1 Pt 0.250 0.250 0.250 1
```

Properties
* ΔE to the lowest computed polymorph: 0.0 meV per atom
* density: 11.3 Mg/m³
* crystal system: cubic
* DFT formation energy: -14.17 kcal/mol of atoms

[9]
A relaxed structure of RbPm2Pt2. Source: OQMD via LeMat-Bulk, functional GGA-PBE.

The structure in CIF format:
```
data_RbPm2Pt2
_chemical_formula_sum 'Rb4 Pm8 Pt8'
_cell_length_a 13.718
_cell_length_b 6.989
_cell_length_c 6.972
_cell_angle_alpha 90.00
_cell_angle_beta 90.00
_cell_angle_gamma 90.00
_symmetry_space_group_name_H-M 'C m c m'
_symmetry_Int_Tables_number 63
_symmetry_space_group_name_Hall '-C 2c 2'
loop_
_atom_site_label
_atom_site_type_symbol
_atom_site_fract_x
_atom_site_fract_y
_atom_site_fract_z
_atom_site_occupancy
Rb1 Rb 0.000 0.183 0.250 1
Pm1 Pm 0.176 0.329 0.750 1
Pt1 Pt 0.189 0.000 0.000 1
```

Properties
* density: 7.6 Mg/m³
* crystal system: orthorhombic
* total energy: -100.05 eV per cell

[10]
A relaxed structure of PmRePt. Source: OQMD via LeMat-Bulk, functional GGA-PBE.

The structure in CIF format:
```
data_PmRePt
_chemical_formula_sum 'Pm4 Re4 Pt4'
_cell_length_a 6.585
_cell_length_b 6.585
_cell_length_c 6.585
_cell_angle_alpha 90.00
_cell_angle_beta 90.00
_cell_angle_gamma 90.00
_symmetry_space_group_name_H-M 'F -4 3 m'
_symmetry_Int_Tables_number 216
_symmetry_space_group_name_Hall 'F -4 2 3'
loop_
_atom_site_label
_atom_site_type_symbol
_atom_site_fract_x
_atom_site_fract_y
_atom_site_fract_z
_atom_site_occupancy
Pm1 Pm 0.000 0.000 0.000 1
Re1 Re 0.250 0.250 0.250 1
Pt1 Pt 0.250 0.250 0.750 1
```

Properties
* ΔE to the lowest computed polymorph: 660.8 meV per atom
* density: 12.2 Mg/m³
* crystal system: cubic
* DFT formation energy: 25.62 kcal/mol of atoms

Q: Look up the density of the tenth one.
A: 12.2 Mg/m³

Please write out number 8 again, unchanged.
A relaxed structure of PmPuPt. Source: OQMD via LeMat-Bulk, functional GGA-PBE.

The structure in CIF format:
```
data_PmPuPt
_chemical_formula_sum 'Pm4 Pu4 Pt4'
_cell_length_a 6.995
_cell_length_b 6.995
_cell_length_c 6.995
_cell_angle_alpha 90.00
_cell_angle_beta 90.00
_cell_angle_gamma 90.00
_symmetry_space_group_name_H-M 'F -4 3 m'
_symmetry_Int_Tables_number 216
_symmetry_space_group_name_Hall 'F -4 2 3'
loop_
_atom_site_label
_atom_site_type_symbol
_atom_site_fract_x
_atom_site_fract_y
_atom_site_fract_z
_atom_site_occupancy
Pm1 Pm 0.000 0.000 0.000 1
Pu1 Pu 0.000 0.000 0.500 1
Pt1 Pt 0.250 0.250 0.250 1
```

Properties
* ΔE to the lowest computed polymorph: 0.0 meV per atom
* density: 11.3 Mg/m³
* crystal system: cubic
* DFT formation energy: -14.17 kcal/mol of atoms

Q: Among the records above, which one has the highest density?
A: Pm2Pt7